Entry 1:
Computed, not measured: a crystal of CuPbW relaxed with PBEsol at the SCAN level of DFT.

As for the space group: F-43m (216).

abc: 4.3040 4.3040 4.3040
angles: 60.00 60.00 60.00
With the nearest neighbours (Å) after each atom.
Element x y z (fractional)
Cu 0.0000 0.0000 0.0000  4 W 2.64, 4 Pb 2.64
Pb 0.2500 0.2500 0.2500  4 Cu 2.64
W 0.7500 0.7500 0.7500  4 Cu 2.64


Entry 2:
Computed, not measured: a crystal of YCu2Pb relaxed with PBEsol at the SCAN level of DFT.

As for the space group: R3m (160).

abc: 5.8509 5.8509 5.8509
angles: 41.80 41.80 41.80
With the nearest neighbours (Å) after each atom.
Element x y z (fractional)
Y 0.0000 0.0000 0.0000  6 Cu 2.99-3.05, 4 Pb 3.19-3.24
Cu 0.2229 0.2229 0.2229  3 Cu 2.41
Cu 0.5500 0.5500 0.5500  3 Cu 2.41
Pb 0.7977 0.7977 0.7977  6 Cu 2.77-2.82


Entry 3:
Computed, not measured: a crystal of YCuPb3 relaxed with PBEsol at the SCAN level of DFT.

As for the space group: Pm-3m (221).

abc: 5.1603 5.1603 5.1603
angles: 90.00 90.00 90.00
With the nearest neighbours (Å) after each atom.
Element x y z (fractional)
Y 0.0000 0.0000 0.0000  12 Pb 3.65
Cu 0.5000 0.5000 0.5000  6 Pb 2.58
Pb 0.0000 0.5000 0.5000  2 Cu 2.58
Pb 0.5000 0.0000 0.5000  2 Cu 2.58
Pb 0.5000 0.5000 0.0000  2 Cu 2.58


Entry 4:
Computed, not measured: a crystal of YCu2Pb relaxed with PBEsol at the SCAN level of DFT.

As for the space group: I-4m2 (119).

abc: 4.8173 4.8173 4.8173
angles: 122.49 122.49 85.74
With the nearest neighbours (Å) after each atom.
Element x y z (fractional)
Y 0.0000 0.0000 0.0000  4 Pb 2.91, 4 Cu 2.91
Cu 0.5000 0.5000 0.0000  4 Pb 2.91, 4 Cu 2.91
Cu 0.7500 0.2500 0.5000  4 Cu 2.91, 4 Y 2.91
Pb 0.2500 0.7500 0.5000  4 Cu 2.91, 4 Y 2.91


Entry 5:
Computed, not measured: a crystal of Y5CuPb3 relaxed with PBEsol at the SCAN level of DFT.

As for the space group: P6_3/mcm (193).

abc: 9.0810 9.0810 6.5747
angles: 90.00 90.00 120.00
With the nearest neighbours (Å) after each atom.
Element x y z (fractional)
Y 0.0000 0.2543 0.2500  2 Cu 2.83, 2 Pb 3.11
Y 0.0000 0.7457 0.7500  2 Cu 2.83, 2 Pb 3.11
Y 0.2543 0.0000 0.2500  2 Cu 2.83, 2 Pb 3.11
Y 0.2543 0.2543 0.7500  2 Cu 2.83, 2 Pb 3.11
Y 0.3333 0.6667 0.0000  6 Pb 3.25, 2 Y 3.29
Y 0.3333 0.6667 0.5000  6 Pb 3.25, 2 Y 3.29
Y 0.6667 0.3333 0.0000  6 Pb 3.25, 2 Y 3.29
Y 0.6667 0.3333 0.5000  6 Pb 3.25, 2 Y 3.29
Y 0.7457 0.0000 0.7500  2 Cu 2.83, 2 Pb 3.11
Y 0.7457 0.7457 0.2500  2 Cu 2.83, 2 Pb 3.11
Cu 0.0000 0.0000 0.0000  6 Y 2.83
Cu 0.0000 0.0000 0.5000  6 Y 2.83
Pb 0.0000 0.3891 0.7500  7 Y 3.11-3.25
Pb 0.0000 0.6109 0.2500  7 Y 3.11-3.25
Pb 0.3891 0.0000 0.7500  7 Y 3.11-3.25
Pb 0.3891 0.3891 0.2500  7 Y 3.11-3.25
Pb 0.6109 0.0000 0.2500  7 Y 3.11-3.25
Pb 0.6109 0.6109 0.7500  7 Y 3.11-3.25


Entry 6:
Computed, not measured: a crystal of ZnCu2Pb relaxed with PBEsol at the SCAN level of DFT.

For the excess energy over the best structure of this formula in the dataset, the calculation gives 0.0 meV/atom. As for the space group: I-4m2 (119).

abc: 4.9508 4.9508 4.9508
angles: 133.15 133.15 68.42
With the nearest neighbours (Å) after each atom.
Element x y z (fractional)
Zn 0.0000 0.0000 0.0000  8 Cu 2.78-2.84, 4 Pb 2.84
Cu 0.5000 0.5000 0.0000  4 Zn 2.78, 4 Pb 2.84, 4 Cu 2.84
Cu 0.7500 0.2500 0.5000  4 Pb 2.78, 4 Cu 2.84, 4 Zn 2.84
Pb 0.2500 0.7500 0.5000  8 Cu 2.78-2.84, 4 Zn 2.84


Entry 7:
Computed, not measured: a crystal of ZnCuPb2 relaxed with PBEsol at the SCAN level of DFT.

As for the space group: Pmmm (47).

abc: 3.3456 3.4930 7.2881
angles: 90.00 90.00 90.00
With the nearest neighbours (Å) after each atom.
Element x y z (fractional)
Zn 0.0000 0.0000 0.0000  8 Pb 3.10, 2 Zn 3.35
Cu 0.0000 0.0000 0.5000  8 Pb 2.96
Pb 0.5000 0.5000 0.2659  4 Cu 2.96, 4 Zn 3.10
Pb 0.5000 0.5000 0.7341  4 Cu 2.96, 4 Zn 3.10


Entry 8:
Computed, not measured: a crystal of Zn3CuPb relaxed with PBEsol at the SCAN level of DFT.

As for the space group: Pm-3m (221).

abc: 4.5845 4.5845 4.5845
angles: 90.00 90.00 90.00
With the nearest neighbours (Å) after each atom.
Element x y z (fractional)
Zn 0.0000 0.0000 0.5000  2 Cu 2.29
Zn 0.0000 0.5000 0.0000  2 Cu 2.29
Zn 0.5000 0.0000 0.0000  2 Cu 2.29
Cu 0.0000 0.0000 0.0000  6 Zn 2.29
Pb 0.5000 0.5000 0.5000  12 Zn 3.24


no.,mass density (g cm⁻³),ΔH_f (0 K) (kcal/mol of atoms)
1,13.39,28.096
2,8.73,-5.744
3,9.35,1.251
4,9.27,-1.946
5,7.99,-17.562
6,10.46,6.816
7,10.59,7.491
8,8.05,5.949